Record 1
TlGeN3, optimized geometry, DFT PBE; crystal system = cubic
1.0
4.323 0.000 0.000
0.000 4.323 0.000
0.000 0.000 4.323
Tl Ge N
1 1 3
Direct
0.000 0.000 0.000 Tl
0.500 0.500 0.500 Ge
0.000 0.000 0.500 N
0.000 0.500 0.000 N
0.500 0.000 0.000 N

***

Record 2
CrCoNi2, optimized geometry, DFT PBE; ΔE_f = 69 meV/atom; crystal system = trigonal
1.0
1.240 0.716 8.265
-1.240 0.716 8.265
0.000 -1.432 8.265
Cr Co Ni
1 1 2
Direct
0.000 0.000 0.000 Cr
0.500 0.500 0.500 Co
0.250 0.250 0.250 Ni
0.750 0.750 0.750 Ni

***

Number 1: electronic total energy -3.955 eV per atom, calculated density 6557 kg/m3, total moment 3.17 μB/f.u.. Number 2: electronic total energy -7.004 eV per atom, calculated density 8612 kg/m3, total moment 2.10 μB/f.u..